DFT (PBE) results for a relaxed La6Pr3Nd2Mg crystal.

abc: 6.3925 6.3925 12.1806
angles: 95.07 95.07 120.12
Fractional positions:
La 0.9189 0.5902 0.7537
La 0.7531 0.7531 0.2475
La 0.0811 0.4098 0.2463
La 0.5902 0.9189 0.7537
La 0.2469 0.2469 0.7525
La 0.4098 0.0811 0.2463
Pr 0.1678 0.8322 0.5000
Pr 0.8322 0.1678 0.5000
Pr 0.5000 0.5000 0.5000
Nd 0.3332 0.6668 0.0000
Nd 0.6668 0.3332 0.0000
Mg 0.0000 0.0000 0.0000

Results
SG: C2/m (12)
Formation enthalpy at 0 K: 11 meV/atom
Raw total energy: -54.90 eV for the cell shown

DFT (PBE) results for a relaxed LaPrNdMg crystal.

abc: 3.8062 3.8062 9.1480
angles: 90.00 90.00 90.00
Fractional positions:
La 0.0000 0.0000 0.0695
Pr 0.5000 0.5000 0.3476
Nd 0.5000 0.5000 0.7944
Mg 0.0000 0.0000 0.5731

Results
SG: P4mm (99)
Formation enthalpy at 0 K: -44 meV/atom
Raw total energy: -16.25 eV for the cell shown

DFT (PBE) results for a relaxed La2Pr4Nd2Mg crystal.

abc: 7.7063 9.0449 6.6494
angles: 132.68 104.46 90.29
Fractional positions:
La 0.7857 0.3755 0.1888
La 0.2143 0.6245 0.8112
Pr 0.6907 0.6695 0.8795
Pr 0.5949 0.8313 0.5092
Pr 0.3093 0.3305 0.1205
Pr 0.4051 0.1687 0.4908
Nd 0.1048 0.7937 0.4221
Nd 0.8952 0.2063 0.5779
Mg 0.0000 0.0000 0.0000

Results
SG: P-1 (2)
Formation enthalpy at 0 K: 72 meV/atom
Raw total energy: -39.45 eV for the cell shown

DFT (PBE) results for a relaxed LaPr2Nd2Mg crystal.

abc: 6.9697 6.5233 10.3126
angles: 108.44 109.75 90.00
Fractional positions:
La 0.0000 0.7500 0.0000
La 0.0000 0.2500 0.0000
Pr 0.8040 0.1548 0.3097
Pr 0.5056 0.6548 0.3097
Pr 0.4944 0.3452 0.6903
Pr 0.1960 0.8452 0.6903
Nd 0.3059 0.1513 0.3026
Nd 0.6941 0.8487 0.6974
Nd 0.0034 0.3487 0.6974
Nd 0.9966 0.6513 0.3026
Mg 0.5000 0.7500 0.0000
Mg 0.5000 0.2500 0.0000

Results
SG: Ibam (72)
Formation enthalpy at 0 K: 166 meV/atom
Raw total energy: -49.24 eV for the cell shown

DFT (PBE) results for a relaxed LaNdMgRh crystal.

abc: 5.2611 5.2611 5.2611
angles: 60.00 60.00 60.00
Fractional positions:
Rh 0.5000 0.5000 0.5000
Mg 0.0000 0.0000 0.0000
Nd 0.2500 0.2500 0.2500
La 0.7500 0.7500 0.7500

Results
SG: F-43m (216)
Formation enthalpy at 0 K: -291 meV/atom
Raw total energy: -19.81 eV for the cell shown

DFT (PBE) results for a relaxed LaNdMgSc crystal.

abc: 3.8485 3.8485 8.2299
angles: 90.00 90.00 90.00
Fractional positions:
La 0.0000 0.0000 0.8597
Nd 0.0000 0.0000 0.3534
Mg 0.5000 0.5000 0.1127
Sc 0.5000 0.5000 0.6022

Results
SG: P4mm (99)
Formation enthalpy at 0 K: -4 meV/atom
Raw total energy: -17.64 eV for the cell shown

DFT (PBE) results for a relaxed LaNdMgSc crystal.

abc: 5.5438 5.5438 5.5438
angles: 60.00 60.00 60.00
Fractional positions:
Sc 0.0000 0.0000 0.0000
Mg 0.5000 0.5000 0.5000
Nd 0.2500 0.2500 0.2500
La 0.7500 0.7500 0.7500

Results
SG: F-43m (216)
Formation enthalpy at 0 K: 9 meV/atom
Raw total energy: -17.59 eV for the cell shown

DFT (PBE) results for a relaxed La2Nd2SmMg5 crystal.

abc: 5.2093 10.7650 10.7650
angles: 90.00 90.00 90.00
Fractional positions:
La 0.0000 0.6746 0.1746
La 0.0000 0.3254 0.8254
La 0.0000 0.1746 0.3254
La 0.0000 0.8254 0.6746
Nd 0.0000 0.1233 0.6233
Nd 0.0000 0.8767 0.3767
Nd 0.0000 0.6233 0.8767
Nd 0.0000 0.3767 0.1233
Sm 0.0000 0.0000 0.0000
Sm 0.0000 0.5000 0.5000
Mg 0.5000 0.1948 0.0739
Mg 0.5000 0.8052 0.9261
Mg 0.5000 0.0739 0.8052
Mg 0.5000 0.6948 0.4261
Mg 0.5000 0.9261 0.1948
Mg 0.5000 0.3052 0.5739
Mg 0.5000 0.5739 0.6948
Mg 0.5000 0.4261 0.3052
Mg 0.5000 0.5000 0.0000
Mg 0.5000 0.0000 0.5000

Results
SG: P4/mbm (127)
Formation enthalpy at 0 K: -1 meV/atom
Raw total energy: -64.19 eV for the cell shown

DFT (PBE) results for a relaxed La5Nd2SmMg crystal.

abc: 5.6865 10.5418 11.1016
angles: 90.00 90.00 105.65
Fractional positions:
La 0.3785 0.7569 0.0083
La 0.7143 0.4287 0.8099
La 0.4995 0.9990 0.7566
La 0.2882 0.5764 0.7087
La 0.9890 0.9780 0.5082
La 0.6215 0.2431 0.5083
La 0.2857 0.5713 0.3099
La 0.5005 0.0010 0.2566
La 0.7118 0.4236 0.2087
La 0.0110 0.0220 0.0082
Nd 0.8848 0.7696 0.7976
Nd 0.1165 0.2331 0.7197
Nd 0.1152 0.2304 0.2976
Nd 0.8835 0.7669 0.2197
Sm 0.8072 0.6144 0.5094
Sm 0.1928 0.3856 0.0094
Mg 0.5945 0.1891 0.0055
Mg 0.4055 0.8109 0.5055

Results
SG: Cmc2_1 (36)
Formation enthalpy at 0 K: 75 meV/atom
Raw total energy: -79.63 eV for the cell shown

DFT (PBE) results for a relaxed La2NdSmMg crystal.

abc: 5.7706 6.2948 9.6289
angles: 71.64 90.00 90.00
Fractional positions:
La 0.7500 0.7536 0.7899
La 0.2500 0.2464 0.2101
La 0.2500 0.0108 0.6131
La 0.7500 0.9892 0.3869
Nd 0.2500 0.8144 0.0061
Nd 0.7500 0.1856 0.9939
Sm 0.7500 0.3659 0.6018
Sm 0.2500 0.6341 0.3982
Mg 0.7500 0.5841 0.1963
Mg 0.2500 0.4159 0.8037

Results
SG: P2_1/m (11)
Formation enthalpy at 0 K: 8 meV/atom
Raw total energy: -41.79 eV for the cell shown

DFT (PBE) results for a relaxed La2Nd2Sm4Mg crystal.

abc: 6.3023 10.4574 6.3172
angles: 120.54 119.87 83.83
Fractional positions:
La 0.7854 0.3344 0.3354
La 0.2146 0.6656 0.6646
Nd 0.3339 0.0005 0.6649
Nd 0.6661 0.9995 0.3351
Sm 0.8924 0.6700 0.9993
Sm 0.5625 0.6692 0.3415
Sm 0.1076 0.3300 0.0007
Sm 0.4375 0.3308 0.6585
Mg 0.0000 0.0000 0.0000

Results
SG: P-1 (2)
Formation enthalpy at 0 K: 29 meV/atom
Raw total energy: -39.60 eV for the cell shown

DFT (PBE) results for a relaxed La2Nd3Sm6Mg crystal.

abc: 6.2887 6.2887 12.0520
angles: 95.05 95.05 120.04
Fractional positions:
La 0.3324 0.6676 0.0000
La 0.6676 0.3324 0.0000
Nd 0.1667 0.8333 0.5000
Nd 0.8333 0.1667 0.5000
Nd 0.5000 0.5000 0.5000
Sm 0.9179 0.5880 0.7506
Sm 0.7523 0.7523 0.2507
Sm 0.0821 0.4120 0.2494
Sm 0.5880 0.9179 0.7506
Sm 0.2477 0.2477 0.7493
Sm 0.4120 0.0821 0.2494
Mg 0.0000 0.0000 0.0000

Results
SG: C2/m (12)
Formation enthalpy at 0 K: 16 meV/atom
Raw total energy: -53.88 eV for the cell shown

DFT (PBE) results for a relaxed La4Nd2Sm2Mg crystal.

abc: 8.1571 8.9402 6.3390
angles: 118.26 130.39 68.35
Fractional positions:
La 0.5504 0.8911 0.2246
La 0.6729 0.6638 0.6703
La 0.4496 0.1089 0.7754
La 0.3271 0.3362 0.3297
Nd 0.1062 0.7830 0.4477
Nd 0.8938 0.2170 0.5523
Sm 0.7768 0.4382 0.1058
Sm 0.2232 0.5618 0.8942
Mg 0.0000 0.0000 0.0000

Results
SG: P-1 (2)
Formation enthalpy at 0 K: 10 meV/atom
Raw total energy: -40.19 eV for the cell shown

DFT (PBE) results for a relaxed La3Nd6Sm2Mg crystal.

abc: 6.3310 6.3310 12.0908
angles: 95.03 95.03 120.06
Fractional positions:
La 0.1683 0.8317 0.5000
La 0.8317 0.1683 0.5000
La 0.5000 0.5000 0.5000
Nd 0.9192 0.5886 0.7552
Nd 0.7511 0.7511 0.2461
Nd 0.0808 0.4114 0.2448
Nd 0.5886 0.9192 0.7552
Nd 0.2489 0.2489 0.7539
Nd 0.4114 0.0808 0.2448
Sm 0.3329 0.6671 0.0000
Sm 0.6671 0.3329 0.0000
Mg 0.0000 0.0000 0.0000

Results
SG: C2/m (12)
Formation enthalpy at 0 K: 21 meV/atom
Raw total energy: -54.17 eV for the cell shown

DFT (PBE) results for a relaxed LaNd2Sm4Mg crystal.

abc: 9.5386 9.5386 11.8516
angles: 128.40 128.40 88.21
Fractional positions:
La 0.5000 0.5000 0.5000
La 0.0000 0.0000 0.0000
Nd 0.5000 0.0000 0.0000
Nd 0.5000 0.0000 0.5000
Nd 0.0000 0.0000 0.5000
Nd 0.5000 0.5000 0.0000
Sm 0.2428 0.7450 0.9942
Sm 0.7550 0.2572 0.5058
Sm 0.2450 0.7428 0.4942
Sm 0.7572 0.2550 0.0058
Sm 0.7621 0.7323 0.9963
Sm 0.7677 0.7379 0.5037
Sm 0.2323 0.2621 0.4963
Sm 0.2379 0.2677 0.0037
Mg 0.0000 0.5000 0.0000
Mg 0.0000 0.5000 0.5000

Results
SG: C2/c (15)
Formation enthalpy at 0 K: 316 meV/atom
Raw total energy: -64.81 eV for the cell shown

DFT (PBE) results for a relaxed LaNd5Sm2Mg crystal.

abc: 5.6164 10.5137 10.9410
angles: 90.00 90.00 105.49
Fractional positions:
La 0.7984 0.5967 0.5081
La 0.2016 0.4033 0.0081
Nd 0.3829 0.7658 0.0082
Nd 0.7107 0.4213 0.8071
Nd 0.5000 0.0000 0.7583
Nd 0.2892 0.5784 0.7092
Nd 0.9868 0.9736 0.5083
Nd 0.6171 0.2342 0.5082
Nd 0.2893 0.5787 0.3071
Nd 0.5000 0.0000 0.2583
Nd 0.7108 0.4216 0.2092
Nd 0.0132 0.0264 0.0083
Sm 0.8856 0.7713 0.7980
Sm 0.1143 0.2285 0.7184
Sm 0.1144 0.2287 0.2980
Sm 0.8857 0.7715 0.2184
Mg 0.5942 0.1884 0.0083
Mg 0.4058 0.8116 0.5083

Results
SG: Cmcm (63)
Formation enthalpy at 0 K: 87 meV/atom
Raw total energy: -78.04 eV for the cell shown

DFT (PBE) results for a relaxed La2Nd5SmMg crystal.

abc: 5.6580 10.5798 10.8712
angles: 90.00 90.00 105.51
Fractional positions:
La 0.8839 0.7679 0.7998
La 0.1159 0.2318 0.7169
La 0.1161 0.2321 0.2998
La 0.8841 0.7682 0.2169
Nd 0.3812 0.7623 0.0083
Nd 0.7129 0.4258 0.8118
Nd 0.4998 0.9997 0.7581
Nd 0.2871 0.5741 0.7046
Nd 0.9858 0.9716 0.5081
Nd 0.6188 0.2377 0.5083
Nd 0.2871 0.5742 0.3118
Nd 0.5002 0.0003 0.2581
Nd 0.7129 0.4259 0.2046
Nd 0.0142 0.0284 0.0081
Sm 0.7990 0.5981 0.5083
Sm 0.2010 0.4019 0.0083
Mg 0.5951 0.1901 0.0080
Mg 0.4049 0.8099 0.5080

Results
SG: Cmcm (63)
Formation enthalpy at 0 K: 79 meV/atom
Raw total energy: -78.60 eV for the cell shown

DFT (PBE) results for a relaxed La6Nd3Sm2Mg crystal.

abc: 6.3754 6.3754 12.1005
angles: 95.11 95.11 120.16
Fractional positions:
La 0.9190 0.5890 0.7538
La 0.7516 0.7516 0.2472
La 0.0810 0.4110 0.2462
La 0.5890 0.9190 0.7538
La 0.2484 0.2484 0.7528
La 0.4110 0.0810 0.2462
Nd 0.1675 0.8325 0.5000
Nd 0.8325 0.1675 0.5000
Nd 0.5000 0.5000 0.5000
Sm 0.3332 0.6668 0.0000
Sm 0.6668 0.3332 0.0000
Mg 0.0000 0.0000 0.0000

Results
SG: C2/m (12)
Formation enthalpy at 0 K: 15 meV/atom
Raw total energy: -54.72 eV for the cell shown

DFT (PBE) results for a relaxed LaNdSm2Mg crystal.

abc: 5.0086 6.2468 11.3920
angles: 89.72 90.00 113.63
Fractional positions:
La 0.5458 0.0916 0.1535
La 0.4542 0.9084 0.8465
Nd 0.2472 0.4943 0.2575
Nd 0.7528 0.5057 0.7425
Sm 0.3537 0.7074 0.5464
Sm 0.6463 0.2926 0.4536
Sm 0.1546 0.3091 0.9478
Sm 0.8454 0.6909 0.0522
Mg 0.9459 0.8918 0.3615
Mg 0.0541 0.1082 0.6385

Results
SG: C2/m (12)
Formation enthalpy at 0 K: 23 meV/atom
Raw total energy: -41.23 eV for the cell shown

DFT (PBE) results for a relaxed La6Nd2Sm3Mg crystal.

abc: 6.3626 6.3626 12.0765
angles: 95.06 95.06 120.05
Fractional positions:
La 0.9177 0.5879 0.7508
La 0.7528 0.7528 0.2499
La 0.0823 0.4121 0.2492
La 0.5879 0.9177 0.7508
La 0.2472 0.2472 0.7501
La 0.4121 0.0823 0.2492
Nd 0.3329 0.6671 0.0000
Nd 0.6671 0.3329 0.0000
Sm 0.1668 0.8332 0.5000
Sm 0.8332 0.1668 0.5000
Sm 0.5000 0.5000 0.5000
Mg 0.0000 0.0000 0.0000

Results
SG: C2/m (12)
Formation enthalpy at 0 K: 10 meV/atom
Raw total energy: -54.74 eV for the cell shown